[1]
# Tb3Nd4Th2 (PBE, relaxed)
# - ΔE to the lowest computed polymorph (kJ/mol of formula units) = 0
# - calculated total energy (eV per atom) = -5.297
data_Tb3Nd4Th2
_chemical_formula_sum 'Tb6 Nd8 Th4'
_cell_length_a 18.9224
_cell_length_b 3.6472
_cell_length_c 9.7025
_cell_angle_alpha 90.00
_cell_angle_beta 115.63
_cell_angle_gamma 90.00
_symmetry_space_group_name_H-M 'C 1 2/m 1'
_symmetry_Int_Tables_number 12
loop_
_symmetry_equiv_pos_as_xyz
'x,y,z'
'-x,-y,-z'
'-x,y,-z'
'x,-y,z'
'x+1/2,y+1/2,z'
'-x+1/2,-y+1/2,-z'
'-x+1/2,y+1/2,-z'
'x+1/2,-y+1/2,z'
loop_
_atom_site_label
_atom_site_fract_x
_atom_site_fract_y
_atom_site_fract_z
_atom_site_occupancy
Tb1 0.0000 0.0000 0.0000 1
Tb2 0.1511 0.0000 0.6763 1
Nd1 0.0160 0.5000 0.3312 1
Nd2 0.1845 0.0000 0.3241 1
Th1 0.1686 0.5000 0.9990 1

=====

[2]
# TbNdTh (PBE, relaxed)
# - ΔE to the lowest computed polymorph (kJ/mol of formula units) = 2
# - calculated total energy (eV per atom) = -5.576
data_TbNdTh
_chemical_formula_sum 'Tb1 Nd1 Th1'
_cell_length_a 3.6046
_cell_length_b 3.6046
_cell_length_c 8.8453
_cell_angle_alpha 90.00
_cell_angle_beta 90.00
_cell_angle_gamma 120.00
_symmetry_space_group_name_H-M 'P 3 m 1'
_symmetry_Int_Tables_number 156
loop_
_symmetry_equiv_pos_as_xyz
'x,y,z'
'-y,x-y,z'
'-x+y,-x,z'
'-y,-x,z'
'-x+y,y,z'
'x,x-y,z'
loop_
_atom_site_label
_atom_site_fract_x
_atom_site_fract_y
_atom_site_fract_z
_atom_site_occupancy
Tb1 0.0000 0.0000 0.0000 1
Nd1 0.3333 0.6667 0.6475 1
Th1 0.6667 0.3333 0.3187 1

=====

[3]
# Tb4NdTh (PBE, relaxed)
# - ΔE to the lowest computed polymorph (kJ/mol of formula units) = 76
# - calculated total energy (eV per atom) = -4.962
data_Tb4NdTh
_chemical_formula_sum 'Tb16 Nd4 Th4'
_cell_length_a 8.8711
_cell_length_b 14.6236
_cell_length_c 6.6579
_cell_angle_alpha 90.00
_cell_angle_beta 109.96
_cell_angle_gamma 90.00
_symmetry_space_group_name_H-M 'C 1 2/c 1'
_symmetry_Int_Tables_number 15
loop_
_symmetry_equiv_pos_as_xyz
'x,y,z'
'-x,-y,-z'
'-x,y,-z+1/2'
'x,-y,z+1/2'
'x+1/2,y+1/2,z'
'-x+1/2,-y+1/2,-z'
'-x+1/2,y+1/2,-z+1/2'
'x+1/2,-y+1/2,z+1/2'
loop_
_atom_site_label
_atom_site_fract_x
_atom_site_fract_y
_atom_site_fract_z
_atom_site_occupancy
Tb1 0.0914 0.1922 0.0341 1
Tb2 0.2034 0.3725 0.3744 1
Nd1 0.0000 0.4123 0.7500 1
Th1 0.0000 0.0009 0.2500 1

=====

[4]
# Tb4Nd5Th2 (PBE, relaxed)
# - ΔE to the lowest computed polymorph (kJ/mol of formula units) = 0
# - calculated total energy (eV per atom) = -5.075
data_Tb4Nd5Th2
_chemical_formula_sum 'Tb4 Nd5 Th2'
_cell_length_a 8.9460
_cell_length_b 3.5224
_cell_length_c 11.9167
_cell_angle_alpha 90.00
_cell_angle_beta 94.35
_cell_angle_gamma 90.00
_symmetry_space_group_name_H-M 'P 1 2/m 1'
_symmetry_Int_Tables_number 10
loop_
_symmetry_equiv_pos_as_xyz
'x,y,z'
'-x,-y,-z'
'-x,y,-z'
'x,-y,z'
loop_
_atom_site_label
_atom_site_fract_x
_atom_site_fract_y
_atom_site_fract_z
_atom_site_occupancy
Tb1 0.1591 0.0000 0.3919 1
Tb2 0.3025 0.0000 0.9536 1
Nd1 0.1928 0.5000 0.6643 1
Nd2 0.4237 0.5000 0.2102 1
Nd3 0.5000 0.5000 0.5000 1
Th1 0.0401 0.5000 0.1321 1

=====

Number 1: total magnetization 0.00 μB/cell. Number 2: total magnetization 0.00 μB/cell. Number 3: total magnetization 0.00 μB/cell. Number 4: total magnetization 0.00 μB/cell.